# Tb2GdSn | the Alexandria database | PBE | optimized geometry
data_Tb2GdSn
_chemical_formula_sum 'Tb2 Gd1 Sn1'
_cell_length_a 4.152
_cell_length_b 4.152
_cell_length_c 6.774
_cell_angle_alpha 90.00
_cell_angle_beta 90.00
_cell_angle_gamma 90.00
_space_group_name_H-M_alt 'P 1'
_space_group_IT_number 1
_space_group_name_Hall 'P 1'
loop_
_atom_site_label
_atom_site_fract_x
_atom_site_fract_y
_atom_site_fract_z
Tb1 0.000 0.000 0.771
Gd1 0.500 0.500 0.500
Sn1 0.500 0.500 0.000
Tb2 0.000 0.000 0.229
# calculated formation energy = -0.331 eV/atom
# relative energy among the computed polymorphs = 0.108 eV per atom
# space-group type = P4/mmm (123)


# Pa3Sn | the Alexandria database | PBE | optimized geometry
data_Pa3Sn
_chemical_formula_sum 'Pa3 Sn1'
_cell_length_a 5.212
_cell_length_b 5.212
_cell_length_c 5.212
_cell_angle_alpha 60.00
_cell_angle_beta 60.00
_cell_angle_gamma 60.00
_space_group_name_H-M_alt 'P 1'
_space_group_IT_number 1
_space_group_name_Hall 'P 1'
loop_
_atom_site_label
_atom_site_fract_x
_atom_site_fract_y
_atom_site_fract_z
Sn1 0.500 0.500 0.500
Pa1 0.250 0.250 0.250
Pa2 0.000 0.000 0.000
Pa3 0.750 0.750 0.750
# calculated formation energy = 0.062 eV/atom
# relative energy among the computed polymorphs = 0.256 eV per atom
# space-group type = Fm-3m (225)


# Hf2MgAs | the Alexandria database | PBE | optimized geometry
data_Hf2MgAs
_chemical_formula_sum 'Hf2 Mg1 As1'
_cell_length_a 4.814
_cell_length_b 4.814
_cell_length_c 4.814
_cell_angle_alpha 60.00
_cell_angle_beta 60.00
_cell_angle_gamma 60.00
_space_group_name_H-M_alt 'P 1'
_space_group_IT_number 1
_space_group_name_Hall 'P 1'
loop_
_atom_site_label
_atom_site_fract_x
_atom_site_fract_y
_atom_site_fract_z
As1 0.500 0.500 0.500
Hf1 0.250 0.250 0.250
Hf2 0.750 0.750 0.750
Mg1 0.000 0.000 0.000
# calculated formation energy = -0.037 eV/atom
# relative energy among the computed polymorphs = 0.020 eV per atom
# space-group type = Fm-3m (225)


# TbGdHgOs | the Alexandria database | PBE | optimized geometry
data_TbGdHgOs
_chemical_formula_sum 'Tb1 Gd1 Hg1 Os1'
_cell_length_a 5.049
_cell_length_b 5.049
_cell_length_c 5.049
_cell_angle_alpha 60.00
_cell_angle_beta 60.00
_cell_angle_gamma 60.00
_space_group_name_H-M_alt 'P 1'
_space_group_IT_number 1
_space_group_name_Hall 'P 1'
loop_
_atom_site_label
_atom_site_fract_x
_atom_site_fract_y
_atom_site_fract_z
Hg1 0.750 0.750 0.750
Os1 0.250 0.250 0.250
Tb1 0.000 0.000 0.000
Gd1 0.500 0.500 0.500
# calculated formation energy = -0.232 eV/atom
# space-group type = F-43m (216)


# Rb2SBr6N | the Alexandria database | PBE | optimized geometry
data_Rb2SBr6N
_chemical_formula_sum 'Rb2 S1 Br6 N1'
_cell_length_a 7.329
_cell_length_b 7.329
_cell_length_c 7.272
_cell_angle_alpha 59.74
_cell_angle_beta 59.74
_cell_angle_gamma 90.00
_space_group_name_H-M_alt 'P 1'
_space_group_IT_number 1
_space_group_name_Hall 'P 1'
loop_
_atom_site_label
_atom_site_fract_x
_atom_site_fract_y
_atom_site_fract_z
Br1 0.253 0.747 0.000
S1 0.000 0.000 0.000
Br2 0.747 0.747 0.000
Br3 0.736 0.736 0.529
Br4 0.264 0.264 0.471
Br5 0.747 0.253 0.000
Br6 0.253 0.253 0.000
Rb1 0.250 0.750 0.500
Rb2 0.750 0.250 0.500
N1 0.500 0.500 0.000
# energy = -26.7 eV/f.u.
# space-group type = I4/mmm (139)


# TmHfZr2 | the Alexandria database | PBE | optimized geometry
data_TmHfZr2
_chemical_formula_sum 'Tm1 Hf1 Zr2'
_cell_length_a 3.211
_cell_length_b 3.211
_cell_length_c 11.356
_cell_angle_alpha 81.87
_cell_angle_beta 81.87
_cell_angle_gamma 60.00
_space_group_name_H-M_alt 'P 1'
_space_group_IT_number 1
_space_group_name_Hall 'P 1'
loop_
_atom_site_label
_atom_site_fract_x
_atom_site_fract_y
_atom_site_fract_z
Zr1 0.907 0.907 0.278
Tm1 0.000 0.000 0.000
Hf1 0.500 0.500 0.500
Zr2 0.093 0.093 0.722
# calculated formation energy = 0.206 eV/atom
# relative energy among the computed polymorphs = 0.138 eV per atom
# space-group type = R-3m (166)


Calculated spin magnetization in order - 7.8, 0.0, 0.0, 7.1, 1.0, 0.0 μB/f.u.